Record 1
A plane-wave DFT calculation with PBE was carried out for a relaxed LiTcPb2O6 crystal.

The space group is R-3m (No. 166, hexagonal axes) and the conventional cell measures 5.6825, 5.6825 and 27.6162 Å, with angles of 90.00, 90.00 and 120.00 degrees. The asymmetric unit holds Li at (0.0000, 0.0000, 0.0985), Tc at (0.0000, 0.0000, 0.0000), Tc at (0.0000, 0.0000, 0.5000), Pb at (0.0000, 0.0000, 0.2244), Pb at (0.0000, 0.0000, 0.3778), O at (0.0151, 0.5076, 0.6271) and O at (0.0232, 0.5116, 0.2074).

The value obtained for the uncorrected formation energy is -1287 meV per atom.

***

Record 2
A plane-wave DFT calculation with PBE was carried out for a relaxed Ac2Pm3Pr2 crystal.

The space group is P2/m (No. 10) and the conventional cell measures 5.921, 3.631 and 12.669 Å, with angles of 90.00, 103.42 and 90.00 degrees. The asymmetric unit holds Ac at (0.077, 0.000, 0.155), Pm at (0.219, 0.000, 0.439), Pm at (0.500, 0.000, 0.000) and Pr at (0.354, 0.500, 0.706).

For the formation energy from the elements, the calculation gives 0.14 eV per atom. For the density of states at the Fermi level, the calculation gives 10.95 states/eV/f.u.

***

Record 3
A plane-wave DFT calculation with PBE was carried out for a relaxed RbAc2Re2N6 crystal.

The space group is P-1 (No. 2) and the conventional cell measures 6.417, 6.959 and 7.145 Å, with angles of 97.55, 116.02 and 112.17 degrees. The asymmetric unit holds Rb at (0.000, 0.000, 0.000), Ac at (0.377, 0.277, 0.675), Re at (0.216, 0.678, 0.663), N at (0.123, 0.900, 0.660), N at (0.283, 0.588, 0.897) and N at (0.461, 0.715, 0.591).

For the density of states at the Fermi level, the calculation gives 3.24 states/eV/f.u. The value obtained for the uncorrected formation energy is -580 meV per atom.

***

Record 4
A plane-wave DFT calculation with PBE was carried out for a relaxed AcPuBi2 crystal.

The space group is Fm-3m (No. 225) and the conventional cell measures 8.111, 8.111 and 8.111 Å, with angles of 90.00, 90.00 and 90.00 degrees. The asymmetric unit holds Ac at (0.000, 0.000, 0.000), Pu at (0.000, 0.000, 0.500) and Bi at (0.250, 0.250, 0.250).

For the formation energy from the elements, the calculation gives -0.50 eV per atom. For the density of states at the Fermi level, the calculation gives 16.66 states/eV/f.u. The calculation puts the distance to the lowest polymorph of the same formula at 146 meV per atom.

***

Record 5
A plane-wave DFT calculation with PBE was carried out for a relaxed Gd2GaO crystal.

The space group is R-3m (No. 166, hexagonal axes) and the conventional cell measures 3.6035, 3.6035 and 21.5451 Å, with angles of 90.00, 90.00 and 120.00 degrees. The asymmetric unit holds Gd at (0.0000, 0.0000, 0.2306), Ga at (0.0000, 0.0000, 0.0000) and O at (0.0000, 0.0000, 0.5000).

For the density of states at the Fermi level, the calculation gives 2.22 states/eV/f.u. The value obtained for the uncorrected formation energy is -1596 meV per atom.

***

Record 6
A plane-wave DFT calculation with PBE was carried out for a relaxed NaSrB2 crystal.

The space group is Fm-3m (No. 225) and the conventional cell measures 6.662, 6.662 and 6.662 Å, with angles of 90.00, 90.00 and 90.00 degrees. The asymmetric unit holds Na at (0.000, 0.000, 0.000), Sr at (0.000, 0.000, 0.500) and B at (0.250, 0.250, 0.250).

For the formation energy from the elements, the calculation gives 1.20 eV per atom. For the density of states at the Fermi level, the calculation gives 2.74 states/eV/f.u. The calculation puts the distance to the lowest polymorph of the same formula at 110 meV per atom.

***

Record 7
A plane-wave DFT calculation with PBE was carried out for a relaxed Dy8Hg4Se3S crystal.

The space group is C2/m (No. 12) and the conventional cell measures 13.707, 7.913 and 8.852 Å, with angles of 90.00, 121.13 and 90.00 degrees. The asymmetric unit holds Dy at (0.007, 0.244, 0.276), Dy at (0.238, 0.000, 0.724), Dy at (0.243, 0.500, 0.729), Hg at (0.000, 0.000, 0.000), Hg at (0.000, 0.500, 0.000), Hg at (0.250, 0.250, 0.000), Se at (0.000, 0.500, 0.500), Se at (0.250, 0.250, 0.500) and S at (0.000, 0.000, 0.500).

For the density of states at the Fermi level, the calculation gives 8.90 states/eV/f.u. The value obtained for the uncorrected formation energy is -1120 meV per atom.

***

Record 8
A plane-wave DFT calculation with PBE was carried out for a relaxed YPdBr2O crystal.

The space group is P4/mmm (No. 123) and the conventional cell measures 5.400, 5.400 and 3.859 Å, with angles of 90.00, 90.00 and 90.00 degrees. The asymmetric unit holds Y at (0.000, 0.000, 0.000), Pd at (0.500, 0.500, 0.500), Br at (0.000, 0.500, 0.500) and O at (0.500, 0.500, 0.000).

For the density of states at the Fermi level, the calculation gives 5.49 states/eV/f.u. The value obtained for the uncorrected formation energy is -513 meV per atom.

***

Record 9
A plane-wave DFT calculation with PBE was carried out for a relaxed PmNdHo2Mg crystal.

The space group is C2/m (No. 12) and the conventional cell measures 11.167, 4.966 and 11.185 Å, with angles of 90.00, 90.13 and 90.00 degrees. The asymmetric unit holds Pm at (0.247, 0.000, 0.244), Nd at (0.047, 0.500, 0.348), Ho at (0.148, 0.500, 0.047), Ho at (0.155, 0.000, 0.552) and Mg at (0.054, 0.000, 0.860).

For the formation energy from the elements, the calculation gives 0.03 eV per atom. For the density of states at the Fermi level, the calculation gives 6.54 states/eV/f.u.

***

Record 10
A plane-wave DFT calculation with PBE was carried out for a relaxed Tm4CuRu crystal.

The space group is P1 (No. 1) and the conventional cell measures 4.750, 4.750 and 6.713 Å, with angles of 90.05, 90.00 and 90.00 degrees. The asymmetric unit holds Tm at (0.000, 0.000, 0.000), Tm at (0.000, 0.001, 0.511), Tm at (0.500, 0.500, 0.000), Tm at (0.500, 0.501, 0.511), Cu at (0.000, 0.501, 0.255) and Ru at (0.500, 0.000, 0.755).

For the formation energy from the elements, the calculation gives -0.17 eV per atom. For the density of states at the Fermi level, the calculation gives 5.55 states/eV/f.u. The calculation puts the distance to the lowest polymorph of the same formula at 91 meV per atom.

***

Record 11
A plane-wave DFT calculation with PBE was carried out for a relaxed BSBr2 crystal.

The space group is I-42d (No. 122) and the conventional cell measures 6.627, 6.627 and 8.576 Å, with angles of 90.00, 90.00 and 90.00 degrees. The asymmetric unit holds B at (0.000, 0.000, 0.000), S at (0.000, 0.000, 0.500) and Br at (0.128, 0.250, 0.125).

For the density of states at the Fermi level, the calculation gives 3.15 states/eV/f.u. The calculation puts the distance to the lowest polymorph of the same formula at 224 meV per atom. The value obtained for the uncorrected formation energy is 989 meV per atom.

***

Record 12
A plane-wave DFT calculation with PBE was carried out for a relaxed AlIn crystal.

The space group is P6_3/mmc (No. 194) and the conventional cell measures 4.5918, 4.5918 and 5.2712 Å, with angles of 90.00, 90.00 and 120.00 degrees. The asymmetric unit holds Al at (0.0000, 0.0000, 0.0000) and In at (0.3333, 0.6667, 0.2500).

For the formation energy from the elements, the calculation gives 0.16 eV per atom. For the density of states at the Fermi level, the calculation gives 0.59 states/eV/f.u.

***

Record 13
A plane-wave DFT calculation with PBE was carried out for a relaxed Tm2GaSi3Ir4 crystal.

The space group is P-4m2 (No. 115) and the conventional cell measures 4.112, 4.112 and 10.008 Å, with angles of 90.00, 90.00 and 90.00 degrees. The asymmetric unit holds Tm at (0.000, 0.500, 0.250), Ga at (0.000, 0.000, 0.500), Si at (0.000, 0.500, 0.871), Si at (0.500, 0.500, 0.500), Ir at (0.000, 0.000, 0.000), Ir at (0.000, 0.500, 0.638) and Ir at (0.500, 0.500, 0.000).

For the density of states at the Fermi level, the calculation gives 6.55 states/eV/f.u. The value obtained for the uncorrected formation energy is -977 meV per atom.

***

Record 14
A plane-wave DFT calculation with PBE was carried out for a relaxed NaPmCl3 crystal.

The space group is C2/m (No. 12) and the conventional cell measures 6.756, 11.007 and 7.691 Å, with angles of 90.00, 107.93 and 90.00 degrees. The asymmetric unit holds Na at (0.226, 0.000, 0.480), Pm at (0.000, 0.293, 0.000), Cl at (0.088, 0.500, 0.796) and Cl at (0.105, 0.164, 0.732).

For the density of states at the Fermi level, the calculation gives 0.86 states/eV/f.u. The value obtained for the uncorrected formation energy is -1821 meV per atom.

***

Record 15
A plane-wave DFT calculation with PBE was carried out for a relaxed Ce2Ge2O7 crystal.

The space group is Fd-3m (No. 227, origin choice 2) and the conventional cell measures 10.303, 10.303 and 10.303 Å, with angles of 90.00, 90.00 and 90.00 degrees. The asymmetric unit holds Ce at (0.000, 0.000, 0.000), Ge at (0.000, 0.000, 0.500), O at (0.076, 0.375, 0.875) and O at (0.125, 0.125, 0.125).

For the density of states at the Fermi level, the calculation gives 11.20 states/eV/f.u. The value obtained for the uncorrected formation energy is -2437 meV per atom.

***

Record 16
A plane-wave DFT calculation with PBE was carried out for a relaxed Hf2InI crystal.

The space group is I-42d (No. 122) and the conventional cell measures 4.424, 4.424 and 21.177 Å, with angles of 90.00, 90.00 and 90.00 degrees. The asymmetric unit holds Hf at (0.241, 0.250, 0.125), In at (0.000, 0.000, 0.000) and I at (0.000, 0.000, 0.500).

For the density of states at the Fermi level, the calculation gives 3.35 states/eV/f.u. The calculation puts the distance to the lowest polymorph of the same formula at 219 meV per atom. The value obtained for the uncorrected formation energy is 459 meV per atom.

***

Record 17
A plane-wave DFT calculation with PBE was carried out for a relaxed Tl5AgSb4 crystal.

The space group is C2/m (No. 12) and the conventional cell measures 18.643, 4.226 and 8.974 Å, with angles of 90.00, 117.41 and 90.00 degrees. The asymmetric unit holds Tl at (0.000, 0.000, 0.000), Tl at (0.157, 0.500, 0.745), Tl at (0.171, 0.500, 0.149), Ag at (0.000, 0.000, 0.500), Sb at (0.033, 0.500, 0.320) and Sb at (0.177, 0.000, 0.454).

For the density of states at the Fermi level, the calculation gives 5.23 states/eV/f.u. The value obtained for the uncorrected formation energy is 56 meV per atom.

***

Record 18
A plane-wave DFT calculation with PBE was carried out for a relaxed Sm3ThTe4 crystal.

The space group is Cmmm (No. 65) and the conventional cell measures 8.910, 12.597 and 4.440 Å, with angles of 90.00, 90.00 and 90.00 degrees. The asymmetric unit holds Sm at (0.000, 0.000, 0.000), Sm at (0.250, 0.250, 0.500), Th at (0.000, 0.500, 0.000), Te at (0.000, 0.249, 0.000) and Te at (0.247, 0.000, 0.500).

For the density of states at the Fermi level, the calculation gives 5.50 states/eV/f.u. The value obtained for the uncorrected formation energy is -1281 meV per atom.

***

Record 19
A plane-wave DFT calculation with PBE was carried out for a relaxed YFe2Ru crystal.

The space group is I4/mmm (No. 139) and the conventional cell measures 3.858, 3.858 and 8.850 Å, with angles of 90.00, 90.00 and 90.00 degrees. The asymmetric unit holds Y at (0.000, 0.000, 0.000), Fe at (0.000, 0.500, 0.250) and Ru at (0.000, 0.000, 0.500).

For the formation energy from the elements, the calculation gives 0.28 eV per atom. For the density of states at the Fermi level, the calculation gives 5.94 states/eV/f.u.

***

Record 20
A plane-wave DFT calculation with PBE was carried out for a relaxed DyCdSi2Pt5 crystal.

The space group is P4/mmm (No. 123) and the conventional cell measures 4.166, 4.166 and 8.914 Å, with angles of 90.00, 90.00 and 90.00 degrees. The asymmetric unit holds Dy at (0.000, 0.000, 0.000), Cd at (0.000, 0.000, 0.500), Si at (0.500, 0.500, 0.371), Pt at (0.000, 0.500, 0.238) and Pt at (0.500, 0.500, 0.000).

For the density of states at the Fermi level, the calculation gives 3.58 states/eV/f.u. The value obtained for the uncorrected formation energy is -780 meV per atom.

***

Record 21
A plane-wave DFT calculation with PBE was carried out for a relaxed AlGe2Mo2 crystal.

The space group is P4/mbm (No. 127) and the conventional cell measures 6.857, 6.857 and 3.320 Å, with angles of 90.00, 90.00 and 90.00 degrees. The asymmetric unit holds Al at (0.000, 0.000, 0.000), Ge at (0.139, 0.361, 0.000) and Mo at (0.158, 0.658, 0.500).

For the formation energy from the elements, the calculation gives 0.07 eV per atom. For the density of states at the Fermi level, the calculation gives 4.38 states/eV/f.u. The calculation puts the distance to the lowest polymorph of the same formula at 70 meV per atom.

***

Record 22
A plane-wave DFT calculation with PBE was carried out for a relaxed Ba2TlCu crystal.

The space group is C2/m (No. 12) and the conventional cell measures 7.912, 4.586 and 9.453 Å, with angles of 90.00, 106.40 and 90.00 degrees. The asymmetric unit holds Ba at (0.239, 0.000, 0.219), Tl at (0.000, 0.000, 0.500) and Cu at (0.000, 0.500, 0.000).

For the formation energy from the elements, the calculation gives -0.05 eV per atom. For the density of states at the Fermi level, the calculation gives 2.98 states/eV/f.u.

***

Record 23
A plane-wave DFT calculation with PBE was carried out for a relaxed CdIn2Ag crystal.

The space group is Pmmm (No. 47) and the conventional cell measures 3.257, 4.405 and 6.404 Å, with angles of 90.00, 90.00 and 90.00 degrees. The asymmetric unit holds Cd at (0.000, 0.000, 0.000), In at (0.500, 0.500, 0.260) and Ag at (0.000, 0.000, 0.500).

For the formation energy from the elements, the calculation gives 0.04 eV per atom. For the density of states at the Fermi level, the calculation gives 1.38 states/eV/f.u.

***

Record 24
A plane-wave DFT calculation with PBE was carried out for a relaxed RbV3Hg crystal.

The space group is Pm-3m (No. 221) and the conventional cell measures 5.331, 5.331 and 5.331 Å, with angles of 90.00, 90.00 and 90.00 degrees. The asymmetric unit holds Rb at (0.000, 0.000, 0.000), V at (0.000, 0.500, 0.500) and Hg at (0.500, 0.500, 0.500).

For the formation energy from the elements, the calculation gives 1.54 eV per atom. For the density of states at the Fermi level, the calculation gives 11.94 states/eV/f.u. The calculation puts the distance to the lowest polymorph of the same formula at 0 meV per atom.

***

| no. | electronic total energy (eV per atom) |
| --- | --- |
| 1 | -6.23 |
| 2 | -4.44 |
| 3 | -8.22 |
| 4 | -7.05 |
| 5 | -10.63 |
| 6 | -2.88 |
| 7 | -4.41 |
| 8 | -4.51 |
| 9 | -4.03 |
| 10 | -5.38 |
| 11 | -2.55 |
| 12 | -3.08 |
| 13 | -7.34 |
| 14 | -4.14 |
| 15 | -7.51 |
| 16 | -5.59 |
| 17 | -3.06 |
| 18 | -5.55 |
| 19 | -7.88 |
| 20 | -5.95 |
| 21 | -6.86 |
| 22 | -2.63 |
| 23 | -2.27 |
| 24 | -4.18 |